[1]
Density functional theory data (PBE) for Na3Dy3HfS8 after structural relaxation.

Computed properties:
Formation energy without anion corrections = -26.96 eV/f.u.
N(E_F) = 0.000 states/eV/atom
Electronic total energy = -5.85 eV/atom

Geometry as POSCAR:
```
Na3Dy3HfS8
1.0
3.9208 2.2637 6.7541
-3.9208 2.2637 6.7541
0.0000 -4.5273 6.7541
Na Dy Hf S
3 3 1 8
Direct
0.0000 0.5000 0.5000
0.5000 0.0000 0.5000
0.5000 0.5000 0.0000
0.0000 0.0000 0.5000
0.0000 0.5000 0.0000
0.5000 0.0000 0.0000
0.5000 0.5000 0.5000
0.2422 0.2422 0.2422
0.2576 0.7290 0.7290
0.2710 0.2710 0.7424
0.2710 0.7424 0.2710
0.7290 0.2576 0.7290
0.7290 0.7290 0.2576
0.7424 0.2710 0.2710
0.7578 0.7578 0.7578
```

[2]
Density functional theory data (PBE) for Na3Dy2HfS6 after structural relaxation.

Computed properties:
Formation energy without anion corrections = -20.35 eV/f.u.
N(E_F) = 0.317 states/eV/atom
Electronic total energy = -5.69 eV/atom

Geometry as POSCAR:
```
Na3Dy2HfS6
1.0
3.3484 -5.8005 0.0000
3.3484 5.8005 0.0000
-2.2414 0.0000 6.7222
Na Dy Hf S
3 2 1 6
Direct
0.0000 0.0000 0.0000
0.3311 0.6689 0.0000
0.6689 0.3311 0.0000
0.1665 0.8335 0.5000
0.8335 0.1665 0.5000
0.5000 0.5000 0.5000
0.1077 0.4245 0.2742
0.2587 0.2587 0.7246
0.4245 0.1077 0.2742
0.5755 0.8923 0.7258
0.7413 0.7413 0.2754
0.8923 0.5755 0.7258
```

[3]
Density functional theory data (PBE) for Na3Dy3HfSe8 after structural relaxation.

Computed properties:
Formation energy without anion corrections = -24.44 eV/f.u.
Electronic total energy = -5.34 eV/atom

Geometry as POSCAR:
```
Na3Dy3HfSe8
1.0
4.0765 2.3536 7.0892
-4.0765 2.3536 7.0892
0.0000 -4.7071 7.0892
Na Dy Hf Se
3 3 1 8
Direct
0.0000 0.5000 0.5000
0.5000 0.0000 0.5000
0.5000 0.5000 0.0000
0.0000 0.0000 0.5000
0.0000 0.5000 0.0000
0.5000 0.0000 0.0000
0.5000 0.5000 0.5000
0.2433 0.2433 0.2433
0.2569 0.7313 0.7313
0.2687 0.2687 0.7431
0.2687 0.7431 0.2687
0.7313 0.2569 0.7313
0.7313 0.7313 0.2569
0.7431 0.2687 0.2687
0.7567 0.7567 0.7567
```

[4]
Density functional theory data (PBE) for Na4DyHf3Se8 after structural relaxation.

Computed properties:
Formation energy without anion corrections = -21.49 eV/f.u.
N(E_F) = 0.449 states/eV/atom
Electronic total energy = -5.57 eV/atom

Geometry as POSCAR:
```
Na4DyHf3Se8
1.0
3.8884 2.2449 7.1360
-3.8884 2.2449 7.1360
0.0000 -4.4899 7.1360
Na Dy Hf Se
4 1 3 8
Direct
0.0000 0.0000 0.0000
0.0000 0.5000 0.5000
0.5000 0.0000 0.5000
0.5000 0.5000 0.0000
0.5000 0.5000 0.5000
0.0000 0.0000 0.5000
0.0000 0.5000 0.0000
0.5000 0.0000 0.0000
0.2302 0.7482 0.7482
0.2403 0.2403 0.2403
0.2518 0.2518 0.7698
0.2518 0.7698 0.2518
0.7482 0.2302 0.7482
0.7482 0.7482 0.2302
0.7597 0.7597 0.7597
0.7698 0.2518 0.2518
```

[5]
Density functional theory data (PBE) for Na3Dy2HfSe6 after structural relaxation.

Computed properties:
Formation energy without anion corrections = -18.39 eV/f.u.
N(E_F) = 0.332 states/eV/atom
Electronic total energy = -5.20 eV/atom

Geometry as POSCAR:
```
Na3Dy2HfSe6
1.0
3.4881 -6.0431 0.0000
3.4881 6.0431 0.0000
-2.3359 0.0000 7.0584
Na Dy Hf Se
3 2 1 6
Direct
0.0000 0.0000 0.0000
0.3301 0.6699 0.0000
0.6699 0.3301 0.0000
0.1663 0.8337 0.5000
0.8337 0.1663 0.5000
0.5000 0.5000 0.5000
0.1059 0.4239 0.2720
0.2587 0.2587 0.7275
0.4239 0.1059 0.2720
0.5761 0.8941 0.7280
0.7413 0.7413 0.2725
0.8941 0.5761 0.7280
```

[6]
Density functional theory data (PBE) for Na2Dy2HfTe6 after structural relaxation.

Computed properties:
Formation energy without anion corrections = -12.72 eV/f.u.
Electronic total energy = -4.85 eV/atom

Geometry as POSCAR:
```
Na2Dy2HfTe6
1.0
3.7408 -6.4319 0.0000
3.7408 6.4319 0.0000
-2.5459 0.0000 7.6587
Na Dy Hf Te
2 2 1 6
Direct
0.1715 0.8285 0.0000
0.8285 0.1715 0.0000
0.3322 0.6678 0.5000
0.6678 0.3322 0.5000
0.0000 0.0000 0.5000
0.0802 0.3953 0.7272
0.2404 0.2404 0.2754
0.3953 0.0802 0.7272
0.6047 0.9198 0.2728
0.7596 0.7596 0.7246
0.9198 0.6047 0.2728
```